Compound: La4BeAs
Source: Alexandria via LeMat-Bulk
Functional: PBE
Structure: optimized geometry

VASP energy (eV for the cell shown): -25.23
ΔE_f (eV/atom): 0.48

abc: 6.3082 6.3082 6.3082
angles: 60.00 60.00 60.00
With the nearest neighbours (Å) after each atom.
Sites, in units of the cell vectors:
Be 0.0000 0.0000 0.0000  12 La 3.70, 4 As 3.86
As 0.7500 0.7500 0.7500  12 La 3.70, 4 Be 3.86
La 0.3757 0.3757 0.3757  6 La 3.14-3.17
La 0.3757 0.8728 0.3757  6 La 3.14-3.17
La 0.3757 0.3757 0.8728  6 La 3.14-3.17
La 0.8728 0.3757 0.3757  6 La 3.14-3.17